[1]
# LaMgW3 PBE optimized geometry
# - ΔE_f: 2.1294 eV per atom
# - E_tot: -34.7 eV for the cell shown
# - Energy above the lowest structure with this stoichiometry: 0 meV per atom
# - Density of states at the Fermi level: 7.85 states/eV/cell
# - Size of the total moment: 0.000 μB/f.u.
data_LaMgW3
_chemical_formula_sum 'La1 Mg1 W3'
_cell_length_a 4.797
_cell_length_b 4.797
_cell_length_c 4.797
_cell_angle_alpha 90.00
_cell_angle_beta 90.00
_cell_angle_gamma 90.00
_symmetry_space_group_name_H-M 'P m -3 m'
_symmetry_Int_Tables_number 221
_symmetry_space_group_name_Hall '-P 4 2 3'
loop_
_atom_site_label
_atom_site_type_symbol
_atom_site_fract_x
_atom_site_fract_y
_atom_site_fract_z
La1 La 0.000 0.000 0.000
Mg1 Mg 0.500 0.500 0.500
W1 W 0.000 0.500 0.500

=====

[2]
# LaThPt PBE optimized geometry
# - ΔE_f: -0.7119 eV per atom
# - E_tot: -41.0 eV for the cell shown
# - Energy above the lowest structure with this stoichiometry: 23 meV per atom
# - Density of states at the Fermi level: 4.26 states/eV/cell
# - Size of the total moment: 0.000 μB/f.u.
data_LaThPt
_chemical_formula_sum 'La2 Th2 Pt2'
_cell_length_a 3.763
_cell_length_b 3.763
_cell_length_c 11.552
_cell_angle_alpha 90.00
_cell_angle_beta 90.00
_cell_angle_gamma 90.00
_symmetry_space_group_name_H-M 'I 4 m m'
_symmetry_Int_Tables_number 107
_symmetry_space_group_name_Hall 'I 4 -2'
loop_
_atom_site_label
_atom_site_type_symbol
_atom_site_fract_x
_atom_site_fract_y
_atom_site_fract_z
La1 La 0.000 0.000 0.000
Th1 Th 0.000 0.000 0.295
Pt1 Pt 0.000 0.000 0.677

=====

[3]
# RbSm3Br8 PBE optimized geometry
# - E_tot: -147.9 eV for the cell shown
# - Density of states at the Fermi level: 14.45 states/eV/cell
# - Size of the total moment: 1.430 μB/f.u.
# - Energy relative to the elements, uncorrected: -1.731 eV/atom
data_RbSm3Br8
_chemical_formula_sum 'Rb3 Sm9 Br24'
_cell_length_a 8.0741
_cell_length_b 8.0741
_cell_length_c 25.9309
_cell_angle_alpha 90.00
_cell_angle_beta 90.00
_cell_angle_gamma 120.00
_symmetry_space_group_name_H-M 'R -3 m'
_symmetry_Int_Tables_number 166
_symmetry_space_group_name_Hall '-R 3 2"'
loop_
_atom_site_label
_atom_site_type_symbol
_atom_site_fract_x
_atom_site_fract_y
_atom_site_fract_z
Rb1 Rb 0.0000 0.0000 0.0000
Sm1 Sm 0.0000 0.5000 0.5000
Br1 Br 0.0000 0.0000 0.2385
Br2 Br 0.0045 0.5022 0.2332

=====

[4]
# K2Pu2Se2S PBE optimized geometry
# - E_tot: -100.1 eV for the cell shown
# - Density of states at the Fermi level: 40.03 states/eV/cell
# - Size of the total moment: 11.883 μB/f.u.
# - Energy relative to the elements, uncorrected: -1.154 eV/atom
data_K2Pu2Se2S
_chemical_formula_sum 'K4 Pu4 Se4 S2'
_cell_length_a 5.279
_cell_length_b 5.279
_cell_length_c 16.543
_cell_angle_alpha 90.00
_cell_angle_beta 90.00
_cell_angle_gamma 90.00
_symmetry_space_group_name_H-M 'I 4/m m m'
_symmetry_Int_Tables_number 139
_symmetry_space_group_name_Hall '-I 4 2'
loop_
_atom_site_label
_atom_site_type_symbol
_atom_site_fract_x
_atom_site_fract_y
_atom_site_fract_z
K1 K 0.000 0.000 0.190
Pu1 Pu 0.000 0.500 0.000
Se1 Se 0.000 0.000 0.389
S1 S 0.000 0.000 0.000

=====

Number 1: V 22.1 Å³ per atom. Number 2: V 27.3 Å³ per atom. Number 3: V 40.7 Å³ per atom. Number 4: V 32.9 Å³ per atom.